This record from Alexandria via LeMat-Bulk describes a relaxed AcPr2Cd6 crystal. The functional is PBE.

a = 3.7795 Å, b = 9.0783 Å, c = 9.0783 Å
α = 57.94°, β = 77.99°, γ = 77.99°
Atoms (fractional coordinates):
Cd1 0.6713 0.0060 0.6515
Cd2 0.5000 0.3313 0.6687
Cd3 0.6713 0.6515 0.0060
Cd4 0.3287 0.3485 0.9940
Cd5 0.5000 0.6687 0.3313
Cd6 0.3287 0.9940 0.3485
Pr1 0.1473 0.3527 0.3527
Pr2 0.8527 0.6473 0.6473
Ac1 0.0000 0.0000 0.0000

Properties
Energy, Ry per atom: -0.176
D(E_F), states/eV/f.u.: 6.591
E_form, kcal/mol of atoms: -6.17